Entry a
The following is a DFT calculation (GGA-PBE) of KPtF2 after structural relaxation.

M_tot   4.20 Bohr magnetons per cell
Density of states at the Fermi level   1.81 states/eV/atom
ρ   7.22 g/cm3

```
data_KPtF2
_space_group_name_H-M_alt 'F m -3 m'
_space_group_IT_number 225
_space_group_name_Hall '-F 4 2 3'
_cell_length_a 6.302
_cell_length_b 6.302
_cell_length_c 6.302
_cell_angle_alpha 90.00
_cell_angle_beta 90.00
_cell_angle_gamma 90.00
loop_
_atom_site_label
_atom_site_fract_x
_atom_site_fract_y
_atom_site_fract_z
_atom_site_occupancy
K1 0.000 0.000 0.000 1
Pt1 0.000 0.000 0.500 1
F1 0.250 0.250 0.250 1
```


Entry b
The following is a DFT calculation (GGA-PBE) of KPtF2 after structural relaxation.

M_tot   0.00 Bohr magnetons per cell
Density of states at the Fermi level   0.17 states/eV/atom
ρ   6.77 g/cm3

```
data_KPtF2
_space_group_name_H-M_alt 'R -3 m'
_space_group_IT_number 166
_space_group_name_Hall '-R 3 2"'
_cell_length_a 3.2269
_cell_length_b 3.2269
_cell_length_c 22.1962
_cell_angle_alpha 90.00
_cell_angle_beta 90.00
_cell_angle_gamma 120.00
loop_
_atom_site_label
_atom_site_fract_x
_atom_site_fract_y
_atom_site_fract_z
_atom_site_occupancy
K1 0.0000 0.0000 0.0000 1
Pt1 0.0000 0.0000 0.5000 1
F1 0.0000 0.0000 0.4093 1
```


Entry c
The following is a DFT calculation (GGA-PBE) of KPtF2 after structural relaxation.

M_tot   4.00 Bohr magnetons per cell
Density of states at the Fermi level   0.00 states/eV/atom
ρ   6.32 g/cm3

```
data_KPtF2
_space_group_name_H-M_alt 'I -4 2 d'
_space_group_IT_number 122
_space_group_name_Hall 'I -4 2bw'
_cell_length_a 6.652
_cell_length_b 6.652
_cell_length_c 6.469
_cell_angle_alpha 90.00
_cell_angle_beta 90.00
_cell_angle_gamma 90.00
loop_
_atom_site_label
_atom_site_fract_x
_atom_site_fract_y
_atom_site_fract_z
_atom_site_occupancy
K1 0.000 0.000 0.000 1
Pt1 0.000 0.000 0.500 1
F1 0.204 0.250 0.625 1
```


Here are the energies relative to the best structure, in meV/atom: entry a 670; entry b 0; entry c 414.


Entry a
The following is a DFT calculation (GGA-PBE) of KPtF after structural relaxation.

M_tot   0.00 Bohr magnetons per cell
Density of states at the Fermi level   0.25 states/eV/atom
ρ   6.50 g/cm3

```
data_KPtF
_space_group_name_H-M_alt 'P n m a'
_space_group_IT_number 62
_cell_length_a 12.019
_cell_length_b 3.013
_cell_length_c 7.146
_cell_angle_alpha 90.00
_cell_angle_beta 90.00
_cell_angle_gamma 90.00
loop_
_space_group_symop_operation_xyz
'x,y,z'
'-x,-y,-z'
'-x+1/2,-y,z+1/2'
'x+1/2,y,-z+1/2'
'x+1/2,-y+1/2,-z+1/2'
'-x+1/2,y+1/2,z+1/2'
'-x,y+1/2,-z'
'x,-y+1/2,z'
loop_
_atom_site_label
_atom_site_fract_x
_atom_site_fract_y
_atom_site_fract_z
_atom_site_occupancy
K1 0.174 0.250 0.188 1
Pt1 0.053 0.250 0.611 1
F1 0.174 0.250 0.833 1
```


Entry b
The following is a DFT calculation (GGA-PBE) of KPtF after structural relaxation.

M_tot   0.00 Bohr magnetons per cell
Density of states at the Fermi level   0.97 states/eV/atom
ρ   6.26 g/cm3

```
data_KPtF
_space_group_name_H-M_alt 'P 63/m m c'
_space_group_IT_number 194
_space_group_name_Hall '-P 6c 2c'
_cell_length_a 4.0813
_cell_length_b 4.0813
_cell_length_c 9.3057
_cell_angle_alpha 90.00
_cell_angle_beta 90.00
_cell_angle_gamma 120.00
loop_
_atom_site_label
_atom_site_fract_x
_atom_site_fract_y
_atom_site_fract_z
_atom_site_occupancy
K1 0.0000 0.0000 0.0000 1
Pt1 0.3333 0.6667 0.2500 1
F1 0.3333 0.6667 0.7500 1
```


Here are the energies relative to the best structure, in meV/atom: entry a 0; entry b 827.


Entry a
The following is a DFT calculation (GGA-PBE) of KPtF after structural relaxation.

M_tot   0.00 Bohr magnetons per cell
Density of states at the Fermi level   1.03 states/eV/atom
ρ   6.29 g/cm3

```
data_KPtF
_space_group_name_H-M_alt 'P -6 m 2'
_space_group_IT_number 187
_space_group_name_Hall 'P -6 2'
_cell_length_a 4.0921
_cell_length_b 4.0921
_cell_length_c 4.6097
_cell_angle_alpha 90.00
_cell_angle_beta 90.00
_cell_angle_gamma 120.00
loop_
_atom_site_label
_atom_site_fract_x
_atom_site_fract_y
_atom_site_fract_z
_atom_site_occupancy
K1 0.0000 0.0000 0.0000 1
Pt1 0.6667 0.3333 0.5000 1
F1 0.3333 0.6667 0.5000 1
```


Entry b
The following is a DFT calculation (GGA-PBE) of KPtF after structural relaxation.

M_tot   0.00 Bohr magnetons per cell
Density of states at the Fermi level   0.00 states/eV/atom
ρ   6.86 g/cm3

```
data_KPtF
_space_group_name_H-M_alt 'P n m a'
_space_group_IT_number 62
_cell_length_a 9.840
_cell_length_b 3.613
_cell_length_c 6.898
_cell_angle_alpha 90.00
_cell_angle_beta 90.00
_cell_angle_gamma 90.00
loop_
_space_group_symop_operation_xyz
'x,y,z'
'-x,-y,-z'
'-x+1/2,-y,z+1/2'
'x+1/2,y,-z+1/2'
'x+1/2,-y+1/2,-z+1/2'
'-x+1/2,y+1/2,z+1/2'
'-x,y+1/2,-z'
'x,-y+1/2,z'
loop_
_atom_site_label
_atom_site_fract_x
_atom_site_fract_y
_atom_site_fract_z
_atom_site_occupancy
K1 0.174 0.250 0.088 1
Pt1 0.034 0.250 0.613 1
F1 0.096 0.750 0.816 1
```


Entry c
The following is a DFT calculation (GGA-PBE) of KPtF after structural relaxation.

M_tot   0.26 Bohr magnetons per cell
Density of states at the Fermi level   1.31 states/eV/atom
ρ   7.10 g/cm3

```
data_KPtF
_space_group_name_H-M_alt 'P 1 m 1'
_space_group_IT_number 6
_cell_length_a 2.993
_cell_length_b 3.076
_cell_length_c 12.935
_cell_angle_alpha 90.00
_cell_angle_beta 95.65
_cell_angle_gamma 90.00
loop_
_space_group_symop_operation_xyz
'x,y,z'
'x,-y,z'
loop_
_atom_site_label
_atom_site_fract_x
_atom_site_fract_y
_atom_site_fract_z
_atom_site_occupancy
K1 0.000 0.000 0.000 1
K2 0.177 0.000 0.440 1
Pt1 0.596 0.500 0.245 1
Pt2 0.785 0.500 0.651 1
F1 0.465 0.500 0.917 1
F2 0.913 0.000 0.755 1
```


Entry d
The following is a DFT calculation (GGA-PBE) of KPtF after structural relaxation.

M_tot   0.98 Bohr magnetons per cell
Density of states at the Fermi level   0.49 states/eV/atom
ρ   6.64 g/cm3

```
data_KPtF
_space_group_name_H-M_alt 'C 1 2/m 1'
_space_group_IT_number 12
_cell_length_a 13.863
_cell_length_b 2.946
_cell_length_c 6.207
_cell_angle_alpha 90.00
_cell_angle_beta 91.85
_cell_angle_gamma 90.00
loop_
_space_group_symop_operation_xyz
'x,y,z'
'-x,-y,-z'
'-x,y,-z'
'x,-y,z'
'x+1/2,y+1/2,z'
'-x+1/2,-y+1/2,-z'
'-x+1/2,y+1/2,-z'
'x+1/2,-y+1/2,z'
loop_
_atom_site_label
_atom_site_fract_x
_atom_site_fract_y
_atom_site_fract_z
_atom_site_occupancy
K1 0.093 0.000 0.329 1
Pt1 0.190 0.500 0.892 1
F1 0.066 0.500 0.675 1
```


Here are the energies relative to the best structure, in meV/atom: entry a 881; entry b 0; entry c 712; entry d 54.


Entry a
The following is a DFT calculation (GGA-PBE) of KPtF after structural relaxation.

M_tot   0.00 Bohr magnetons per cell
Density of states at the Fermi level   0.12 states/eV/atom
ρ   5.63 g/cm3

```
data_KPtF
_space_group_name_H-M_alt 'P 1'
_space_group_IT_number 1
_cell_length_a 3.739
_cell_length_b 4.925
_cell_length_c 8.788
_cell_angle_alpha 84.58
_cell_angle_beta 89.98
_cell_angle_gamma 68.19
loop_
_space_group_symop_operation_xyz
'x,y,z'
loop_
_atom_site_label
_atom_site_fract_x
_atom_site_fract_y
_atom_site_fract_z
_atom_site_occupancy
K1 0.000 0.000 0.000 1
K2 0.074 0.852 0.607 1
Pt1 0.372 0.254 0.303 1
Pt2 0.697 0.610 0.303 1
F1 0.035 0.932 0.304 1
F2 0.537 0.926 0.803 1
```


Entry b
The following is a DFT calculation (GGA-PBE) of KPtF after structural relaxation.

M_tot   0.00 Bohr magnetons per cell
Density of states at the Fermi level   0.73 states/eV/atom
ρ   6.92 g/cm3

```
data_KPtF
_space_group_name_H-M_alt 'P 1 m 1'
_space_group_IT_number 6
_cell_length_a 3.294
_cell_length_b 3.652
_cell_length_c 10.196
_cell_angle_alpha 90.00
_cell_angle_beta 98.12
_cell_angle_gamma 90.00
loop_
_space_group_symop_operation_xyz
'x,y,z'
'x,-y,z'
loop_
_atom_site_label
_atom_site_fract_x
_atom_site_fract_y
_atom_site_fract_z
_atom_site_occupancy
K1 0.000 0.000 0.000 1
K2 0.138 0.500 0.320 1
Pt1 0.299 0.500 0.684 1
Pt2 0.768 0.000 0.607 1
F1 0.467 0.500 0.919 1
F2 0.596 0.000 0.223 1
```


Here are the energies relative to the best structure, in meV/atom: entry a 225; entry b 0.


Entry a
The following is a DFT calculation (GGA-PBE) of KPtF after structural relaxation.

M_tot   0.00 Bohr magnetons per cell
Density of states at the Fermi level   1.16 states/eV/atom
ρ   6.33 g/cm3

```
data_KPtF
_space_group_name_H-M_alt 'P 4/n m m'
_space_group_IT_number 129
_cell_length_a 3.664
_cell_length_b 3.664
_cell_length_c 9.890
_cell_angle_alpha 90.00
_cell_angle_beta 90.00
_cell_angle_gamma 90.00
loop_
_space_group_symop_operation_xyz
'x,y,z'
'-x,-y,-z'
'-y+1/2,x,z'
'y+1/2,-x,-z'
'-x+1/2,-y+1/2,z'
'x+1/2,y+1/2,-z'
'y,-x+1/2,z'
'-y,x+1/2,-z'
'x+1/2,-y,-z'
'-x+1/2,y,z'
'-y,-x,-z'
'y,x,z'
'-x,y+1/2,-z'
'x,-y+1/2,z'
'y+1/2,x+1/2,-z'
'-y+1/2,-x+1/2,z'
loop_
_atom_site_label
_atom_site_fract_x
_atom_site_fract_y
_atom_site_fract_z
_atom_site_occupancy
K1 0.250 0.250 0.165 1
Pt1 0.250 0.250 0.527 1
F1 0.250 0.750 0.000 1
```


Entry b
The following is a DFT calculation (GGA-PBE) of KPtF after structural relaxation.

M_tot   0.00 Bohr magnetons per cell
Density of states at the Fermi level   0.00 states/eV/atom
ρ   5.11 g/cm3

```
data_KPtF
_space_group_name_H-M_alt 'P 63/m m c'
_space_group_IT_number 194
_space_group_name_Hall '-P 6c 2c'
_cell_length_a 4.8093
_cell_length_b 4.8093
_cell_length_c 8.2163
_cell_angle_alpha 90.00
_cell_angle_beta 90.00
_cell_angle_gamma 120.00
loop_
_atom_site_label
_atom_site_fract_x
_atom_site_fract_y
_atom_site_fract_z
_atom_site_occupancy
K1 0.3333 0.6667 0.2500 1
Pt1 0.0000 0.0000 0.0000 1
F1 0.0000 0.0000 0.2500 1
```


Entry c
The following is a DFT calculation (GGA-PBE) of KPtF after structural relaxation.

M_tot   1.20 Bohr magnetons per cell
Density of states at the Fermi level   6.14 states/eV/atom
ρ   6.51 g/cm3

```
data_KPtF
_space_group_name_H-M_alt 'F -4 3 m'
_space_group_IT_number 216
_space_group_name_Hall 'F -4 2 3'
_cell_length_a 6.369
_cell_length_b 6.369
_cell_length_c 6.369
_cell_angle_alpha 90.00
_cell_angle_beta 90.00
_cell_angle_gamma 90.00
loop_
_atom_site_label
_atom_site_fract_x
_atom_site_fract_y
_atom_site_fract_z
_atom_site_occupancy
K1 0.000 0.000 0.000 1
Pt1 0.000 0.000 0.500 1
F1 0.250 0.250 0.250 1
```


Here are the energies relative to the best structure, in meV/atom: entry a 0; entry b 369; entry c 896.


Entry a
The following is a DFT calculation (GGA-PBE) of KPtF after structural relaxation.

M_tot   0.00 Bohr magnetons per cell
Density of states at the Fermi level   0.00 states/eV/atom
ρ   7.07 g/cm3

```
data_KPtF
_space_group_name_H-M_alt 'I m m a'
_space_group_IT_number 74
_space_group_name_Hall '-I 2b 2'
_cell_length_a 2.960
_cell_length_b 4.807
_cell_length_c 16.706
_cell_angle_alpha 90.00
_cell_angle_beta 90.00
_cell_angle_gamma 90.00
loop_
_atom_site_label
_atom_site_fract_x
_atom_site_fract_y
_atom_site_fract_z
_atom_site_occupancy
K1 0.000 0.250 0.080 1
Pt1 0.000 0.250 0.689 1
F1 0.000 0.250 0.557 1
```


Entry b
The following is a DFT calculation (GGA-PBE) of KPtF after structural relaxation.

M_tot   0.00 Bohr magnetons per cell
Density of states at the Fermi level   0.00 states/eV/atom
ρ   7.18 g/cm3

```
data_KPtF
_space_group_name_H-M_alt 'P n m a'
_space_group_IT_number 62
_cell_length_a 9.353
_cell_length_b 4.680
_cell_length_c 5.353
_cell_angle_alpha 90.00
_cell_angle_beta 90.00
_cell_angle_gamma 90.00
loop_
_space_group_symop_operation_xyz
'x,y,z'
'-x,-y,-z'
'-x+1/2,-y,z+1/2'
'x+1/2,y,-z+1/2'
'x+1/2,-y+1/2,-z+1/2'
'-x+1/2,y+1/2,z+1/2'
'-x,y+1/2,-z'
'x,-y+1/2,z'
loop_
_atom_site_label
_atom_site_fract_x
_atom_site_fract_y
_atom_site_fract_z
_atom_site_occupancy
K1 0.250 0.250 0.249 1
Pt1 0.000 0.250 0.639 1
F1 0.000 0.000 0.000 1
```


Here are the energies relative to the best structure, in meV/atom: entry a 0; entry b 363.